Computed, not measured: PdN2O2 after structural relaxation at the PBE level of DFT.

For the density of states at the Fermi level, the calculation gives 4.2 states/eV/f.u. Its calculated density is 5.96 Mg/m³. Its energy relative to the elements, uncorrected is 11.14 eV/f.u. The value obtained for the calculated total energy is -4.1231 eV/atom.

It has space group P4/mmm (No. 123), with a = 3.6427 Å, b = 3.6427 Å, c = 3.4969 Å, α = 90.00°, β = 90.00° and γ = 90.00°. The distinct sites, in fractional coordinates, are Pd at (0.0000, 0.0000, 0.0000), N at (0.0000, 0.5000, 0.5000), O at (0.5000, 0.5000, 0.0000) and O at (0.5000, 0.5000, 0.5000).


Computed, not measured: PdPtNO2 after structural relaxation at the PBE level of DFT.

For the density of states at the Fermi level, the calculation gives 5.7 states/eV/f.u. Its calculated density is 9.25 Mg/m³. Its energy relative to the elements, uncorrected is 6.20 eV/f.u. The value obtained for the calculated total energy is -4.6553 eV/atom.

It has space group P4/mmm (No. 123), with a = 4.0686 Å, b = 4.0686 Å, c = 3.7679 Å, α = 90.00°, β = 90.00° and γ = 90.00°. The distinct sites, in fractional coordinates, are Pd at (0.0000, 0.0000, 0.0000), Pt at (0.5000, 0.5000, 0.5000), N at (0.0000, 0.0000, 0.5000) and O at (0.0000, 0.5000, 0.0000).


Computed, not measured: PdPtNO2 after structural relaxation at the PBE level of DFT.

For the density of states at the Fermi level, the calculation gives 7.7 states/eV/f.u. Its calculated density is 9.11 Mg/m³. Its energy relative to the elements, uncorrected is 4.30 eV/f.u. The value obtained for the calculated total energy is -5.0349 eV/atom.

It has space group P4/mmm (No. 123), with a = 4.1372 Å, b = 4.1372 Å, c = 3.6992 Å, α = 90.00°, β = 90.00° and γ = 90.00°. The distinct sites, in fractional coordinates, are Pd at (0.0000, 0.0000, 0.0000), Pt at (0.5000, 0.5000, 0.5000), N at (0.5000, 0.5000, 0.0000) and O at (0.0000, 0.5000, 0.5000).


Computed, not measured: RbPdNO2 after structural relaxation at the PBE level of DFT.

For the density of states at the Fermi level, the calculation gives 5.5 states/eV/f.u. Its calculated density is 5.52 Mg/m³. Its energy relative to the elements, uncorrected is 1.56 eV/f.u. The value obtained for the calculated total energy is -4.5680 eV/atom.

It has space group P4/mmm (No. 123), with a = 4.3491 Å, b = 4.3491 Å, c = 3.7866 Å, α = 90.00°, β = 90.00° and γ = 90.00°. The distinct sites, in fractional coordinates, are Rb at (0.0000, 0.0000, 0.0000), Pd at (0.5000, 0.5000, 0.5000), N at (0.5000, 0.5000, 0.0000) and O at (0.0000, 0.5000, 0.5000).


> The lowest calculated total energy belongs to which entry?

number 3


> Among the records above, which one has the highest calculated total energy?

PdN2O2


> Number 1 is which compound?

PdN2O2